[1]
## CsIn2Cl7 (PBE)

Data for a geometry-optimized CsIn2Cl7 structure.

Output
The density of states at the Fermi level is 0.00 states/eV/f.u. The volume comes out at 34.077 Å³/atom. For the magnetization, the calculation gives 0.0 μB per formula unit. As for the uncorrected formation energy: -1.205 eV per atom. The final energy is -3.1312 eV/atom.

Unit cell a=8.2850 b=18.9285 c=4.3459 alpha=90.00 beta=90.00 gamma=90.00
With the nearest neighbours (Å) after each atom.
Space group Cmmm (No. 65)
Asymmetric unit:
1 Cs 0.0000 0.0000 0.0000  8 Cl 3.70
2 In 0.0000 0.3621 0.5000  5 Cl 2.41-2.61
3 Cl 0.0000 0.2902 0.0000  2 In 2.56
4 Cl 0.0000 0.5000 0.5000  2 In 2.61
5 Cl 0.2097 0.1292 0.5000  1 In 2.41

***

[2]
## Re2SeBr (PBE)

Data for a geometry-optimized Re2SeBr structure.

Output
The density of states at the Fermi level is 3.77 states/eV/f.u. The volume comes out at 19.178 Å³/atom. The energy above the lowest structure with this stoichiometry comes out at 173.4 meV per atom. For the magnetization, the calculation gives 0.0 μB per formula unit. As for the uncorrected formation energy: 0.359 eV per atom. The final energy is -7.1541 eV/atom.

Unit cell a=3.0390 b=3.0390 c=28.7741 alpha=90.00 beta=90.00 gamma=120.00
With the nearest neighbours (Å) after each atom.
Space group R3m (No. 160, hexagonal axes)
Asymmetric unit:
1 Re 0.0000 0.0000 0.0000  3 Se 2.53, 3 Re 2.74
2 Re 0.0000 0.0000 0.2604  3 Br 2.68, 3 Re 2.74
3 Se 0.0000 0.0000 0.7300  3 Re 2.53
4 Br 0.0000 0.0000 0.5233  3 Re 2.68

***

[3]
## In2CoICl (PBE)

Data for a geometry-optimized In2CoICl structure.

Output
The density of states at the Fermi level is 2.15 states/eV/f.u. The volume comes out at 34.551 Å³/atom. For the magnetization, the calculation gives 2.2 μB per formula unit. As for the uncorrected formation energy: 1.050 eV per atom. The final energy is -2.1463 eV/atom.

Unit cell a=5.7820 b=5.7820 c=5.1674 alpha=90.00 beta=90.00 gamma=90.00
With the nearest neighbours (Å) after each atom.
Space group P4/mmm (No. 123)
Asymmetric unit:
1 In 0.0000 0.5000 0.0000  2 I 2.89
2 Co 0.0000 0.0000 0.5000  8 In 3.88, 4 Cl 4.09
3 I 0.5000 0.5000 0.0000  2 Cl 2.58, 4 In 2.89
4 Cl 0.5000 0.5000 0.5000  2 I 2.58

***

[4]
## Pb2C (PBE)

Data for a geometry-optimized Pb2C structure.

Output
The density of states at the Fermi level is 2.11 states/eV/f.u. The calculation puts the energy relative to the elements at 1402 meV per atom. The volume comes out at 24.036 Å³/atom. The energy above the lowest structure with this stoichiometry comes out at 358.1 meV per atom. For the magnetization, the calculation gives 0.0 μB per formula unit. The final energy is -4.1446 eV/atom.

Unit cell a=6.2795 b=13.0042 c=3.5321 alpha=90.00 beta=90.00 gamma=90.00
With the nearest neighbours (Å) after each atom.
Space group Cmmm (No. 65)
Asymmetric unit:
1 Pb 0.0000 0.0000 0.0000  10 Pb 3.53-3.60, 4 C 3.61
2 Pb 0.0000 0.2384 0.5000  2 C 2.40
3 Pb 0.0000 0.5000 0.5000  4 C 2.50
4 C 0.0000 0.3636 0.0000  4 Pb 2.40-2.50

***

[5]
## ScTcTe2 (PBE)

Data for a geometry-optimized ScTcTe2 structure.

Output
The density of states at the Fermi level is 4.36 states/eV/f.u. The volume comes out at 24.056 Å³/atom. The energy above the lowest structure with this stoichiometry comes out at 432.1 meV per atom. For the magnetization, the calculation gives 0.0 μB per formula unit. As for the uncorrected formation energy: 0.041 eV per atom. The final energy is -5.7047 eV/atom.

Unit cell a=3.4199 b=3.4199 c=28.5012 alpha=90.00 beta=90.00 gamma=120.00
With the nearest neighbours (Å) after each atom.
Space group R-3m (No. 166, hexagonal axes)
Asymmetric unit:
1 Sc 0.0000 0.0000 0.0000  2 Te 2.88
2 Tc 0.0000 0.0000 0.5000  6 Te 2.72
3 Te 0.0000 0.0000 0.1009  3 Tc 2.72, 1 Sc 2.88

***

[6]
## NaPrHg (PBE)

Data for a geometry-optimized NaPrHg structure.

Output
The density of states at the Fermi level is 2.00 states/eV/f.u. The calculation puts the energy relative to the elements at -122 meV per atom. The volume comes out at 31.694 Å³/atom. The energy above the lowest structure with this stoichiometry comes out at 89.7 meV per atom. For the magnetization, the calculation gives 0.0 μB per formula unit. The final energy is -2.2559 eV/atom.

Unit cell a=3.6396 b=3.6396 c=28.7122 alpha=90.00 beta=90.00 gamma=90.00
With the nearest neighbours (Å) after each atom.
Space group I4/mmm (No. 139)
Asymmetric unit:
1 Na 0.0000 0.0000 0.2017  4 Hg 3.25, 4 Na 3.64
2 Pr 0.0000 0.0000 0.0654  4 Hg 3.21
3 Hg 0.0000 0.0000 0.3675  4 Pr 3.21, 4 Na 3.25

***

[7]
## AsPb2 (PBE)

Data for a geometry-optimized AsPb2 structure.

Output
The density of states at the Fermi level is 1.50 states/eV/f.u. The calculation puts the energy relative to the elements at 88 meV per atom. The volume comes out at 31.183 Å³/atom. The energy above the lowest structure with this stoichiometry comes out at 85.8 meV per atom. For the magnetization, the calculation gives 0.0 μB per formula unit. The final energy is -3.9345 eV/atom.

Unit cell a=4.7549 b=4.7549 c=4.1378 alpha=90.00 beta=90.00 gamma=90.00
With the nearest neighbours (Å) after each atom.
Space group P4/mmm (No. 123)
Asymmetric unit:
1 As 0.0000 0.0000 0.0000  8 Pb 3.15
2 Pb 0.0000 0.5000 0.5000  4 As 3.15, 4 Pb 3.36

***

[8]
## SrMoCI2 (PBE)

Data for a geometry-optimized SrMoCI2 structure.

Output
The density of states at the Fermi level is 1.21 states/eV/f.u. The volume comes out at 39.994 Å³/atom. The energy above the lowest structure with this stoichiometry comes out at 805.3 meV per atom. For the magnetization, the calculation gives 7.4 μB per formula unit. As for the uncorrected formation energy: 1.431 eV per atom. The final energy is -3.5367 eV/atom.

Unit cell a=6.4053 b=6.4053 c=4.8739 alpha=90.00 beta=90.00 gamma=90.00
With the nearest neighbours (Å) after each atom.
Space group P4/mmm (No. 123)
Asymmetric unit:
1 Sr 0.0000 0.0000 0.0000  2 C 2.44
2 Mo 0.5000 0.5000 0.5000  8 I 4.02
3 C 0.0000 0.0000 0.5000  2 Sr 2.44
4 I 0.0000 0.5000 0.0000  2 Sr 3.20

***

[9]
## Ac3Cd2SnPd6 (PBE)

Data for a geometry-optimized Ac3Cd2SnPd6 structure.

Output
The density of states at the Fermi level is 6.63 states/eV/f.u. The calculation puts the energy relative to the elements at -672 meV per atom. The volume comes out at 23.489 Å³/atom. For the magnetization, the calculation gives 0.0 μB per formula unit. The final energy is -4.7814 eV/atom.

Unit cell a=5.9787 b=5.9787 c=9.1054 alpha=90.00 beta=90.00 gamma=120.00
With the nearest neighbours (Å) after each atom.
Space group P-3m1 (No. 164)
Asymmetric unit:
1 Ac 0.0000 0.0000 0.0000  6 Pd 3.09, 6 Cd 3.45
2 Ac 0.3333 0.6667 0.6203  6 Pd 3.14
3 Cd 0.3333 0.6667 0.0151  3 Pd 2.87
4 Sn 0.0000 0.0000 0.5000  6 Pd 2.74
5 Pd 0.1753 0.3506 0.2746  1 Sn 2.74, 2 Pd 2.83, 1 Cd 2.87

***

[10]
## CeTm4P5 (PBE)

Data for a geometry-optimized CeTm4P5 structure.

Output
The density of states at the Fermi level is 4.94 states/eV/f.u. The calculation puts the energy relative to the elements at -1584 meV per atom. The volume comes out at 22.154 Å³/atom. For the magnetization, the calculation gives 0.3 μB per formula unit. The final energy is -6.6709 eV/atom.

Unit cell a=8.8782 b=8.8782 c=5.6213 alpha=90.00 beta=90.00 gamma=90.00
With the nearest neighbours (Å) after each atom.
Space group I4/m (No. 87)
Asymmetric unit:
1 Ce 0.0000 0.0000 0.0000  6 P 2.81-2.82
2 Tm 0.1010 0.6987 0.5000  6 P 2.79-2.82
3 P 0.0000 0.0000 0.5000  2 Ce 2.81, 4 Tm 2.82
4 P 0.1001 0.6982 0.0000  5 Tm 2.79-2.81, 1 Ce 2.82

***

[11]
## La2TaSe6 (PBE)

Data for a geometry-optimized La2TaSe6 structure.

Output
The density of states at the Fermi level is 5.21 states/eV/f.u. The volume comes out at 26.393 Å³/atom. For the magnetization, the calculation gives 0.0 μB per formula unit. As for the uncorrected formation energy: -1.360 eV per atom. The final energy is -6.0950 eV/atom.

Unit cell a=6.3710 b=7.9043 c=11.2463 alpha=90.00 beta=122.98 gamma=90.00
With the nearest neighbours (Å) after each atom.
Space group P2_1/c (No. 14)
Asymmetric unit:
1 La 0.2035 0.1142 0.2568  8 Se 3.03-3.17
2 Ta 0.5000 0.0000 0.0000  6 Se 2.57-2.59
3 Se 0.1087 0.1642 0.9515  1 Ta 2.59
4 Se 0.2956 0.7031 0.9521  1 Ta 2.59
5 Se 0.3271 0.0210 0.7339  1 Ta 2.57

***

[12]
## La2NdHo2Cd5 (PBE)

Data for a geometry-optimized La2NdHo2Cd5 structure.

Output
The density of states at the Fermi level is 6.56 states/eV/f.u. The calculation puts the energy relative to the elements at -214 meV per atom. The volume comes out at 28.123 Å³/atom. For the magnetization, the calculation gives 0.0 μB per formula unit. The final energy is -3.0493 eV/atom.

Unit cell a=10.7765 b=10.7765 c=4.8432 alpha=90.00 beta=90.00 gamma=90.00
With the nearest neighbours (Å) after each atom.
Space group P4/mbm (No. 127)
Asymmetric unit:
1 La 0.1763 0.3237 0.0000  3 Ho 3.08-3.26
2 Nd 0.0000 0.0000 0.0000  8 Cd 3.32
3 Ho 0.1217 0.6217 0.0000  6 Cd 3.05-3.15, 3 La 3.08-3.26
4 Cd 0.0000 0.5000 0.5000  4 Ho 3.05, 4 Cd 3.34
5 Cd 0.0693 0.8016 0.5000  2 Ho 3.15, 3 Cd 3.20-3.34, 2 Nd 3.32